Entry 1:
{
  "formula": "Sb2TePdRu",
  "functional": "PBE-GGA",
  "state": "optimized geometry",
  "lattice_angstrom": [[-1.630, 4.537, 1.301], [-4.365, -0.926, -2.241], [-1.928, -2.007, 4.585]],
  "species": ["Sb", "Sb", "Te", "Pd", "Ru"],
  "frac_coords": [[0.000, 0.500, 0.000], [0.500, 0.000, 0.000], [0.000, 0.000, 0.500], [0.500, 0.500, 0.500], [0.000, 0.000, 0.000]],
  "polymorph_energy_mev_per_atom": 0,
  "raw_formation_energy_ev_per_atom": 0.58
}

=====

Entry 2:
{
  "formula": "La7CeDy4",
  "functional": "PBE-GGA",
  "state": "optimized geometry",
  "lattice_angstrom": [[-5.230, 1.569, -4.951], [1.012, -5.651, -2.860], [-10.604, -5.919, -1.667]],
  "species": ["La", "La", "La", "La", "La", "La", "La", "Ce", "Dy", "Dy", "Dy", "Dy"],
  "frac_coords": [[0.757, 0.498, 0.003], [0.243, 0.502, 0.997], [0.087, 0.052, 0.669], [0.913, 0.948, 0.331], [0.835, 0.560, 0.665], [0.500, 0.000, 0.000], [0.165, 0.440, 0.335], [0.000, 0.000, 0.000], [0.667, 0.453, 0.332], [0.333, 0.547, 0.668], [0.570, 0.055, 0.671], [0.430, 0.945, 0.329]],
  "ef_ev_per_atom": 0.0286
}

=====

Entry 3:
{
  "formula": "TiGeRu",
  "functional": "PBE-GGA",
  "state": "optimized geometry",
  "lattice_angstrom": [[3.083, 0.000, 0.000], [0.000, 3.083, 0.000], [-1.541, -1.541, 4.673]],
  "species": ["Ru", "Ge", "Ti"],
  "frac_coords": [[0.946, 0.946, 0.891], [0.292, 0.292, 0.583], [0.613, 0.613, 0.225]],
  "ef_ev_per_atom": -0.4527
}